# 1
Computed, not measured: a relaxed Y2GaMo2 crystal at the PBE level of DFT.

Geometry as CIF:
```
data_Y2GaMo2
_cell_length_a 3.570
_cell_length_b 3.570
_cell_length_c 18.520
_cell_angle_alpha 90.00
_cell_angle_beta 90.00
_cell_angle_gamma 90.00
_symmetry_space_group_name_H-M 'I 4/m m m'
_symmetry_Int_Tables_number 139
_symmetry_space_group_name_Hall '-I 4 2'
loop_
_atom_site_label
_atom_site_type_symbol
_atom_site_fract_x
_atom_site_fract_y
_atom_site_fract_z
Y1 Y 0.000 0.000 0.107
Ga1 Ga 0.000 0.000 0.500
Mo1 Mo 0.000 0.500 0.250
```

Summary:
Energy above the most stable polymorph in this dataset (eV/atom): 0.134
Volume (Å³/f.u.): 118
Calculated formation energy (eV per atom): 0.171

---

# 2
Computed, not measured: a relaxed YGa3Mo crystal at the PBE level of DFT.

Geometry as CIF:
```
data_YGa3Mo
_cell_length_a 5.343
_cell_length_b 5.343
_cell_length_c 5.343
_cell_angle_alpha 90.00
_cell_angle_beta 90.00
_cell_angle_gamma 90.00
_symmetry_space_group_name_H-M 'P m -3 m'
_symmetry_Int_Tables_number 221
_symmetry_space_group_name_Hall '-P 4 2 3'
loop_
_atom_site_label
_atom_site_type_symbol
_atom_site_fract_x
_atom_site_fract_y
_atom_site_fract_z
Y1 Y 0.000 0.000 0.000
Ga1 Ga 0.000 0.000 0.500
Mo1 Mo 0.500 0.500 0.500
```

Summary:
Energy above the most stable polymorph in this dataset (eV/atom): 1.431
Volume (Å³/f.u.): 153
Calculated formation energy (eV per atom): 1.392

---

# 3
Computed, not measured: a relaxed YGaMo2 crystal at the PBE level of DFT.

Geometry as CIF:
```
data_YGaMo2
_cell_length_a 7.683
_cell_length_b 7.683
_cell_length_c 5.380
_cell_angle_alpha 90.00
_cell_angle_beta 90.00
_cell_angle_gamma 90.00
_symmetry_space_group_name_H-M 'I -4 2 d'
_symmetry_Int_Tables_number 122
_symmetry_space_group_name_Hall 'I -4 2bw'
loop_
_atom_site_label
_atom_site_type_symbol
_atom_site_fract_x
_atom_site_fract_y
_atom_site_fract_z
Y1 Y 0.000 0.000 0.000
Ga1 Ga 0.000 0.000 0.500
Mo1 Mo 0.205 0.250 0.625
```

Summary:
Volume (Å³/f.u.): 79
Calculated formation energy (eV per atom): 0.572

---

# 4
Computed, not measured: a relaxed YGa2Mo2 crystal at the PBE level of DFT.

Geometry as CIF:
```
data_YGa2Mo2
_cell_length_a 4.771
_cell_length_b 4.771
_cell_length_c 8.693
_cell_angle_alpha 90.00
_cell_angle_beta 90.00
_cell_angle_gamma 90.00
_symmetry_space_group_name_H-M 'I 4/m m m'
_symmetry_Int_Tables_number 139
_symmetry_space_group_name_Hall '-I 4 2'
loop_
_atom_site_label
_atom_site_type_symbol
_atom_site_fract_x
_atom_site_fract_y
_atom_site_fract_z
Y1 Y 0.000 0.000 0.000
Ga1 Ga 0.000 0.500 0.250
Mo1 Mo 0.000 0.000 0.367
```

Summary:
Energy above the most stable polymorph in this dataset (eV/atom): 0.298
Volume (Å³/f.u.): 99
Calculated formation energy (eV per atom): -0.015

---

> The highest volume belongs to which entry?

YGa3Mo

---

> What is the formula in the third record?

YGaMo2

---

Copy entry 3 word for word.
Computed, not measured: a relaxed YGaMo2 crystal at the PBE level of DFT.

Geometry as CIF:
```
data_YGaMo2
_cell_length_a 7.683
_cell_length_b 7.683
_cell_length_c 5.380
_cell_angle_alpha 90.00
_cell_angle_beta 90.00
_cell_angle_gamma 90.00
_symmetry_space_group_name_H-M 'I -4 2 d'
_symmetry_Int_Tables_number 122
_symmetry_space_group_name_Hall 'I -4 2bw'
loop_
_atom_site_label
_atom_site_type_symbol
_atom_site_fract_x
_atom_site_fract_y
_atom_site_fract_z
Y1 Y 0.000 0.000 0.000
Ga1 Ga 0.000 0.000 0.500
Mo1 Mo 0.205 0.250 0.625
```

Summary:
Volume (Å³/f.u.): 79
Calculated formation energy (eV per atom): 0.572